The following is a PBE calculation of an optimized crystal structure of TbY2HgC, from the Alexandria database.

Computed properties:
Crystal system: tetragonal
DOS(E_F), states/eV/cell: 7.7
E_form, eV per atom: -0.3794
Calculated volume, Å³/atom: 23.82

Cell: 4.899 4.899 4.961 Å, 90.00 90.00 90.00°
Sites, in units of the cell vectors:
Tb: 0.000 0.000 0.000
Y: 0.000 0.500 0.500
Y: 0.500 0.000 0.500
Hg: 0.500 0.500 0.000
C: 0.000 0.000 0.500

***

The following is a PBE calculation of an optimized crystal structure of Rb2CI, from the Alexandria database.

Computed properties:
Crystal system: cubic
Uncorrected formation energy, eV per atom: 0.489
DOS(E_F), states/eV/cell: 0.0
Calculated volume, Å³/atom: 38.53

Cell: 6.018 6.018 6.018 Å, 60.00 60.00 60.00°
Sites, in units of the cell vectors:
Rb: 0.250 0.250 0.250
Rb: 0.750 0.750 0.750
C: 0.000 0.000 0.000
I: 0.500 0.500 0.500

***

The following is a PBE calculation of an optimized crystal structure of CsLiPdCl6, from the Alexandria database.

Computed properties:
Crystal system: trigonal
Uncorrected formation energy, eV per atom: -1.066
Calculated volume, Å³/atom: 31.37

Cell: 6.465 6.465 7.800 Å, 90.00 90.00 120.00°
Sites, in units of the cell vectors:
Cs: 0.000 0.000 0.000
Li: 0.333 0.667 0.500
Pd: 0.667 0.333 0.500
Cl: 0.381 0.026 0.674
Cl: 0.381 0.355 0.326
Cl: 0.645 0.026 0.326
Cl: 0.645 0.619 0.674
Cl: 0.974 0.355 0.674
Cl: 0.974 0.619 0.326

***

The following is a PBE calculation of an optimized crystal structure of ErScSn2, from the Alexandria database.

Computed properties:
Crystal system: monoclinic
DOS(E_F), states/eV/cell: 13.6
E_form, eV per atom: -0.6156
Calculated volume, Å³/atom: 25.52

Cell: 6.065 6.071 11.474 Å, 90.00 104.90 90.00°
Sites, in units of the cell vectors:
Er: 0.192 0.126 0.134
Er: 0.192 0.874 0.634
Er: 0.808 0.126 0.366
Er: 0.808 0.874 0.866
Sc: 0.316 0.373 0.871
Sc: 0.316 0.627 0.371
Sc: 0.684 0.373 0.629
Sc: 0.684 0.627 0.129
Sn: 0.171 0.376 0.602
Sn: 0.171 0.624 0.102
Sn: 0.329 0.130 0.408
Sn: 0.329 0.870 0.908
Sn: 0.671 0.130 0.092
Sn: 0.671 0.870 0.592
Sn: 0.829 0.376 0.898
Sn: 0.829 0.624 0.398

***

The following is a PBE calculation of an optimized crystal structure of CeZrScCd, from the Alexandria database.

Computed properties:
Crystal system: cubic
DOS(E_F), states/eV/cell: 7.8
E_form, eV per atom: 0.0411
Calculated volume, Å³/atom: 24.39

Cell: 5.167 5.167 5.167 Å, 60.00 60.00 60.00°
Sites, in units of the cell vectors:
Ce: 0.000 0.000 0.000
Zr: 0.250 0.250 0.250
Sc: 0.500 0.500 0.500
Cd: 0.750 0.750 0.750

***

The following is a PBE calculation of an optimized crystal structure of BaBe2CdCl8, from the Alexandria database.

Computed properties:
Crystal system: trigonal
Uncorrected formation energy, eV per atom: -1.585
DOS(E_F), states/eV/cell: 0.0
Calculated volume, Å³/atom: 23.72

Cell: 9.502 9.502 9.502 Å, 37.46 37.46 37.46°
Sites, in units of the cell vectors:
Ba: 0.000 0.000 0.000
Be: 0.250 0.250 0.250
Be: 0.750 0.750 0.750
Cd: 0.500 0.500 0.500
Cl: 0.083 0.448 0.787
Cl: 0.213 0.917 0.552
Cl: 0.326 0.326 0.326
Cl: 0.448 0.787 0.083
Cl: 0.552 0.213 0.917
Cl: 0.674 0.674 0.674
Cl: 0.787 0.083 0.448
Cl: 0.917 0.552 0.213

***

The following is a PBE calculation of an optimized crystal structure of CsRb2SnSb2, from the Alexandria database.

Computed properties:
Crystal system: orthorhombic
Uncorrected formation energy, eV per atom: -0.345
DOS(E_F), states/eV/cell: 7.2
Calculated volume, Å³/atom: 48.10

Cell: 10.007 10.007 10.007 Å, 123.74 74.99 134.72°
Sites, in units of the cell vectors:
Cs: 0.250 0.250 0.000
Cs: 0.750 0.750 0.000
Rb: 0.181 0.679 0.859
Rb: 0.319 0.179 0.498
Rb: 0.681 0.821 0.502
Rb: 0.819 0.321 0.141
Sn: 0.250 0.750 0.500
Sn: 0.750 0.250 0.500
Sb: 0.098 0.315 0.413
Sb: 0.402 0.815 0.217
Sb: 0.598 0.185 0.783
Sb: 0.902 0.685 0.587

***

The following is a PBE calculation of an optimized crystal structure of InGaIr, from the Alexandria database.

Computed properties:
Crystal system: triclinic
DOS(E_F), states/eV/cell: 2.4
E_form, eV per atom: -0.2273
Calculated volume, Å³/atom: 20.08

Cell: 3.062 6.120 7.125 Å, 67.82 77.92 89.94°
Sites, in units of the cell vectors:
In: 0.000 0.000 0.000
In: 0.248 0.146 0.492
Ga: 0.008 0.449 0.986
Ga: 0.763 0.655 0.483
Ir: 0.390 0.592 0.222
Ir: 0.616 0.795 0.767

***

The following is a PBE calculation of an optimized crystal structure of LiTaCdIn2, from the Alexandria database.

Computed properties:
Crystal system: tetragonal
DOS(E_F), states/eV/cell: 4.1
E_form, eV per atom: 0.6651
Calculated volume, Å³/atom: 31.38

Cell: 5.364 5.364 5.453 Å, 90.00 90.00 90.00°
Sites, in units of the cell vectors:
Li: 0.000 0.000 0.000
Ta: 0.500 0.500 0.500
Cd: 0.500 0.500 0.000
In: 0.000 0.500 0.500
In: 0.500 0.000 0.500

***

The following is a PBE calculation of an optimized crystal structure of RbH3Au, from the Alexandria database.

Computed properties:
Total DFT energy (no corrections), eV/atom: -2.8824
Crystal system: cubic
DOS(E_F), states/eV/cell: 0.6
Calculated volume, Å³/atom: 12.75

Cell: 3.994 3.994 3.994 Å, 90.00 90.00 90.00°
Sites, in units of the cell vectors:
Rb: 0.000 0.000 0.000
H: 0.000 0.500 0.500
H: 0.500 0.000 0.500
H: 0.500 0.500 0.000
Au: 0.500 0.500 0.500

***

The following is a PBE calculation of an optimized crystal structure of CaMgNO2, from the Alexandria database.

Computed properties:
Crystal system: tetragonal
Uncorrected formation energy, eV per atom: -0.083
DOS(E_F), states/eV/cell: 3.2
Calculated volume, Å³/atom: 16.70

Cell: 4.339 4.339 4.436 Å, 90.00 90.00 90.00°
Sites, in units of the cell vectors:
Ca: 0.000 0.000 0.000
Mg: 0.500 0.500 0.500
N: 0.000 0.000 0.500
O: 0.000 0.500 0.000
O: 0.500 0.000 0.000

***

The following is a PBE calculation of an optimized crystal structure of CoTc2Hg, from the Alexandria database.

Computed properties:
Crystal system: tetragonal
DOS(E_F), states/eV/cell: 5.4
E_form, eV per atom: 0.4389
Calculated volume, Å³/atom: 14.99

Cell: 2.739 2.739 7.993 Å, 90.00 90.00 90.00°
Sites, in units of the cell vectors:
Co: 0.000 0.000 0.000
Tc: 0.500 0.500 0.213
Tc: 0.500 0.500 0.787
Hg: 0.000 0.000 0.500

***

The following is a PBE calculation of an optimized crystal structure of Sm2Mg3Al2, from the Alexandria database.

Computed properties:
Crystal system: orthorhombic
DOS(E_F), states/eV/cell: 4.0
E_form, eV per atom: -0.2298
Calculated volume, Å³/atom: 24.72

Cell: 11.091 11.091 3.504 Å, 90.00 90.00 156.33°
Sites, in units of the cell vectors:
Sm: 0.161 0.839 0.000
Sm: 0.839 0.161 0.000
Mg: 0.000 0.000 0.000
Mg: 0.427 0.573 0.500
Mg: 0.573 0.427 0.500
Al: 0.283 0.717 0.500
Al: 0.717 0.283 0.500

***

The following is a PBE calculation of an optimized crystal structure of InCu2Cl, from the Alexandria database.

Computed properties:
Crystal system: tetragonal
Uncorrected formation energy, eV per atom: 0.312
DOS(E_F), states/eV/cell: 1.3
Calculated volume, Å³/atom: 18.49

Cell: 4.272 4.272 4.054 Å, 90.00 90.00 90.00°
Sites, in units of the cell vectors:
In: 0.000 0.000 0.000
Cu: 0.000 0.500 0.500
Cu: 0.500 0.000 0.500
Cl: 0.500 0.500 0.000

***

The following is a PBE calculation of an optimized crystal structure of TaCoPd3, from the Alexandria database.

Computed properties:
Crystal system: cubic
DOS(E_F), states/eV/cell: 7.8
E_form, eV per atom: 1.0141
Calculated volume, Å³/atom: 18.20

Cell: 4.498 4.498 4.498 Å, 90.00 90.00 90.00°
Sites, in units of the cell vectors:
Ta: 0.000 0.000 0.000
Co: 0.500 0.500 0.500
Pd: 0.000 0.500 0.500
Pd: 0.500 0.000 0.500
Pd: 0.500 0.500 0.000

***

The following is a PBE calculation of an optimized crystal structure of LiTl2AsCl, from the Alexandria database.

Computed properties:
Crystal system: tetragonal
Uncorrected formation energy, eV per atom: -0.362
DOS(E_F), states/eV/cell: 1.7
Calculated volume, Å³/atom: 33.26

Cell: 5.859 5.859 4.844 Å, 90.00 90.00 90.00°
Sites, in units of the cell vectors:
Li: 0.000 0.000 0.000
Tl: 0.000 0.500 0.500
Tl: 0.500 0.000 0.500
As: 0.000 0.000 0.500
Cl: 0.500 0.500 0.000

***

The following is a PBE calculation of an optimized crystal structure of NbMo4W4, from the Alexandria database.

Computed properties:
Crystal system: tetragonal
DOS(E_F), states/eV/cell: 5.4
E_form, eV per atom: 0.3085
Calculated volume, Å³/atom: 16.65

Cell: 6.125 6.125 6.125 Å, 98.38 98.38 135.12°
Sites, in units of the cell vectors:
Nb: 0.000 0.000 0.000
Mo: 0.320 0.655 0.974
Mo: 0.345 0.320 0.665
Mo: 0.655 0.680 0.335
Mo: 0.680 0.345 0.026
W: 0.013 0.338 0.351
W: 0.338 0.987 0.325
W: 0.662 0.013 0.675
W: 0.987 0.662 0.649

***

The following is a PBE calculation of an optimized crystal structure of La8TbPm2, from the Alexandria database.

Computed properties:
Crystal system: orthorhombic
DOS(E_F), states/eV/cell: 18.2
E_form, eV per atom: 0.0977
Calculated volume, Å³/atom: 36.38

Cell: 9.678 9.678 9.678 Å, 145.12 128.65 63.58°
Sites, in units of the cell vectors:
La: 0.159 0.159 0.000
La: 0.163 0.364 0.798
La: 0.292 0.000 0.292
La: 0.434 0.636 0.798
La: 0.566 0.364 0.202
La: 0.708 0.000 0.708
La: 0.837 0.636 0.202
La: 0.841 0.841 0.000
Tb: 0.000 0.500 0.500
Pm: 0.298 0.798 0.500
Pm: 0.702 0.202 0.500

***

The following is a PBE calculation of an optimized crystal structure of BaScInH2, from the Alexandria database.

Computed properties:
Total DFT energy (no corrections), eV/atom: -3.1266
Crystal system: tetragonal
DOS(E_F), states/eV/cell: 4.7
Calculated volume, Å³/atom: 29.90

Cell: 4.561 4.561 7.187 Å, 90.00 90.00 90.00°
Sites, in units of the cell vectors:
Ba: 0.000 0.000 0.000
Sc: 0.500 0.500 0.500
In: 0.000 0.000 0.500
H: 0.000 0.500 0.000
H: 0.500 0.000 0.000

***

The following is a PBE calculation of an optimized crystal structure of LiMo2Cl, from the Alexandria database.

Computed properties:
Crystal system: trigonal
Uncorrected formation energy, eV per atom: 0.570
DOS(E_F), states/eV/cell: 2.7
Calculated volume, Å³/atom: 15.80

Cell: 9.139 9.139 9.139 Å, 17.93 17.93 17.93°
Sites, in units of the cell vectors:
Li: 0.000 0.000 0.000
Mo: 0.243 0.243 0.243
Mo: 0.757 0.757 0.757
Cl: 0.500 0.500 0.500